1.
{
  "formula": "ReAgOs2",
  "functional": "PBE-GGA",
  "state": "relaxed",
  "cell": [[2.773, 0.000, 0.000], [0.000, 2.773, 0.000], [0.000, 0.000, 7.983]],
  "species": ["Re", "Os", "Os", "Ag"],
  "fractional_positions": [[0.500, 0.500, 0.250], [0.000, 0.000, 0.019], [0.000, 0.000, 0.481], [0.500, 0.500, 0.750]],
  "formation_energy_ev_per_atom": 0.430,
  "e_above_lowest_polymorph_ev_per_atom": 0.1642,
  "final_energy_ev_per_atom": -9.010
}

=====

2.
{
  "formula": "CdBTe2I",
  "functional": "PBE-GGA",
  "state": "relaxed",
  "cell": [[5.599, 0.000, 0.000], [0.000, 5.599, 0.000], [0.000, 0.000, 5.933]],
  "species": ["I", "B", "Te", "Te", "Cd"],
  "fractional_positions": [[0.000, 0.000, 0.500], [0.500, 0.500, 0.500], [0.000, 0.500, 0.000], [0.500, 0.000, 0.000], [0.000, 0.000, 0.000]],
  "formation_energy_uncorrected_ev_per_atom": 1.267,
  "e_above_lowest_polymorph_ev_per_atom": 0.6324,
  "final_energy_ev_per_atom": -1.819
}

=====

3.
{
  "formula": "HoSb2Ir",
  "functional": "PBE-GGA",
  "state": "relaxed",
  "cell": [[-0.513, -2.894, -2.094], [0.095, -3.308, 1.439], [-9.582, -1.609, 1.461]],
  "species": ["Sb", "Sb", "Ir", "Ho"],
  "fractional_positions": [[0.108, 0.108, 0.677], [0.892, 0.892, 0.323], [0.500, 0.500, 0.500], [0.000, 0.000, 0.000]],
  "formation_energy_uncorrected_ev_per_atom": -0.034,
  "final_energy_ev_per_atom": -5.455
}

=====

4.
{
  "formula": "Na2AcTaO6",
  "functional": "PBE-GGA",
  "state": "relaxed",
  "cell": [[-1.853, 5.472, -1.152], [-5.643, -2.056, -0.689], [-1.490, 1.334, 8.226]],
  "species": ["Na", "Na", "Na", "Na", "Ac", "Ac", "Ta", "Ta", "O", "O", "O", "O", "O", "O", "O", "O", "O", "O", "O", "O"],
  "fractional_positions": [[0.993, 0.965, 0.262], [0.493, 0.535, 0.762], [0.007, 0.035, 0.738], [0.507, 0.465, 0.238], [0.500, 0.000, 0.000], [0.000, 0.500, 0.500], [0.500, 0.000, 0.500], [0.000, 0.500, 0.000], [0.295, 0.653, 0.040], [0.795, 0.847, 0.540], [0.705, 0.347, 0.960], [0.205, 0.153, 0.460], [0.355, 0.716, 0.433], [0.855, 0.784, 0.933], [0.645, 0.284, 0.567], [0.145, 0.216, 0.067], [0.899, 0.567, 0.222], [0.399, 0.933, 0.722], [0.101, 0.433, 0.778], [0.601, 0.067, 0.278]],
  "formation_energy_uncorrected_ev_per_atom": -2.212,
  "final_energy_ev_per_atom": -7.047
}

=====

5.
{
  "formula": "CdPbSe4",
  "functional": "PBE-GGA",
  "state": "relaxed",
  "cell": [[0.000, 4.181, 4.181], [4.181, 0.000, 4.181], [4.181, 4.181, 0.000]],
  "species": ["Cd", "Pb", "Se", "Se", "Se", "Se"],
  "fractional_positions": [[0.750, 0.750, 0.750], [0.000, 0.000, 0.000], [0.376, 0.872, 0.376], [0.872, 0.376, 0.376], [0.376, 0.376, 0.872], [0.376, 0.376, 0.376]],
  "formation_energy_uncorrected_ev_per_atom": 0.268,
  "final_energy_ev_per_atom": -2.825
}

=====

6.
{
  "formula": "Ce6Cd2Pb",
  "functional": "PBE-GGA",
  "state": "relaxed",
  "cell": [[-1.286, -0.536, -2.755], [8.212, 1.018, -4.031], [-2.713, -8.309, 2.883]],
  "species": ["Ce", "Ce", "Ce", "Ce", "Ce", "Ce", "Cd", "Cd", "Pb"],
  "fractional_positions": [[0.500, 0.344, 0.344], [0.500, 0.656, 0.656], [0.500, 0.000, 0.656], [0.500, 0.656, 0.000], [0.500, 0.344, 0.000], [0.500, 0.000, 0.344], [0.000, 0.333, 0.667], [0.000, 0.667, 0.333], [0.000, 0.000, 0.000]],
  "formation_energy_ev_per_atom": -0.107,
  "final_energy_ev_per_atom": -4.678
}

=====

7.
{
  "formula": "La3Pr6Dy2In",
  "functional": "PBE-GGA",
  "state": "relaxed",
  "cell": [[6.336, -0.015, 0.016], [-3.180, 5.480, 0.016], [-1.124, -1.945, 11.807]],
  "species": ["La", "La", "La", "Pr", "Pr", "Pr", "Pr", "Pr", "Pr", "Dy", "Dy", "In"],
  "fractional_positions": [[0.172, 0.828, 0.500], [0.828, 0.172, 0.500], [0.500, 0.500, 0.500], [0.922, 0.596, 0.759], [0.754, 0.754, 0.244], [0.078, 0.404, 0.241], [0.596, 0.922, 0.759], [0.246, 0.246, 0.756], [0.404, 0.078, 0.241], [0.334, 0.666, 0.000], [0.666, 0.334, 0.000], [0.000, 0.000, 0.000]],
  "formation_energy_ev_per_atom": -0.032,
  "final_energy_ev_per_atom": -4.649
}

=====

8.
{
  "formula": "Nd2Ga3Co2",
  "functional": "PBE-GGA",
  "state": "relaxed",
  "cell": [[4.008, 0.000, 0.000], [-2.004, 4.734, -2.111], [0.000, -0.422, 7.105]],
  "species": ["Nd", "Nd", "Ga", "Ga", "Ga", "Co", "Co"],
  "fractional_positions": [[0.860, 0.720, 0.231], [0.140, 0.280, 0.769], [0.500, 0.000, 0.000], [0.647, 0.295, 0.441], [0.353, 0.705, 0.559], [0.872, 0.744, 0.799], [0.128, 0.256, 0.201]],
  "formation_energy_ev_per_atom": -0.439,
  "final_energy_ev_per_atom": -5.128
}